1.
Entry from the Alexandria database: a relaxed structure of Pa2GaHg (PBE-GGA).

It has space group Fm-3m (No. 225), with a = 7.2919 Å, b = 7.2919 Å, c = 7.2919 Å, α = 90.00°, β = 90.00° and γ = 90.00°. Symmetry generates all atoms from Pa at (0.2500, 0.2500, 0.2500), Ga at (0.0000, 0.0000, 0.0000) and Hg at (0.0000, 0.0000, 0.5000).

The calculation puts the distance to the lowest polymorph of the same formula at 0.91 eV per formula unit. The energy of formation from the pure elements is 0.132 eV/atom. Its density of states at the Fermi level is 38.471 states/eV/cell. Its total moment is 0.492 μB/atom.

2.
Entry from the Alexandria database: a relaxed structure of HoGeRh4 (PBE-GGA).

It has space group Cmcm (No. 63), with a = 4.6084 Å, b = 13.4122 Å, c = 6.6570 Å, α = 90.00°, β = 90.00° and γ = 90.00°. Symmetry generates all atoms from Ho at (0.0000, 0.1062, 0.2500), Ge at (0.0000, 0.3588, 0.2500), Rh at (0.0000, 0.0890, 0.7500), Rh at (0.0000, 0.2746, 0.5657) and Rh at (0.0000, 0.5000, 0.0000).

The energy of formation from the pure elements is -0.376 eV/atom. Its density of states at the Fermi level is 20.766 states/eV/cell. Its total moment is 0.000 μB/atom.

3.
Entry from the Alexandria database: a relaxed structure of LaEr2Os (PBE-GGA).

It has space group P4/mmm (No. 123), with a = 3.4085 Å, b = 3.4085 Å, c = 9.3786 Å, α = 90.00°, β = 90.00° and γ = 90.00°. Symmetry generates all atoms from La at (0.0000, 0.0000, 0.0000), Er at (0.5000, 0.5000, 0.3266) and Os at (0.0000, 0.0000, 0.5000).

The calculation puts the distance to the lowest polymorph of the same formula at 0.25 eV per formula unit. The energy of formation from the pure elements is -0.173 eV/atom. Its density of states at the Fermi level is 2.857 states/eV/cell. Its total moment is 0.000 μB/atom.

4.
Entry from the Alexandria database: a relaxed structure of NaMg3Pb12 (PBE-GGA).

It has space group P4/mmm (No. 123), with a = 4.8518 Å, b = 4.8518 Å, c = 20.0032 Å, α = 90.00°, β = 90.00° and γ = 90.00°. Symmetry generates all atoms from Na at (0.0000, 0.0000, 0.0000), Mg at (0.0000, 0.0000, 0.2493), Mg at (0.0000, 0.0000, 0.5000), Pb at (0.0000, 0.5000, 0.1274), Pb at (0.0000, 0.5000, 0.3755), Pb at (0.5000, 0.5000, 0.0000), Pb at (0.5000, 0.5000, 0.2514) and Pb at (0.5000, 0.5000, 0.5000).

The energy of formation from the pure elements is -0.029 eV/atom. Its density of states at the Fermi level is 6.605 states/eV/cell. Its total moment is 0.000 μB/atom.

5.
Entry from the Alexandria database: a relaxed structure of TaBe3Ir (PBE-GGA).

It has space group Pm-3m (No. 221), with a = 4.2301 Å, b = 4.2301 Å, c = 4.2301 Å, α = 90.00°, β = 90.00° and γ = 90.00°. Symmetry generates all atoms from Ta at (0.0000, 0.0000, 0.0000), Be at (0.0000, 0.0000, 0.5000) and Ir at (0.5000, 0.5000, 0.5000).

The calculation puts the distance to the lowest polymorph of the same formula at 7.35 eV per formula unit. The energy of formation from the pure elements is 1.877 eV/atom. Its density of states at the Fermi level is 2.762 states/eV/cell. Its total moment is 0.000 μB/atom.

6.
Entry from the Alexandria database: a relaxed structure of LiH2AuF8 (PBE-GGA).

It has space group P-1 (No. 2), with a = 4.8325 Å, b = 4.9853 Å, c = 6.3046 Å, α = 88.49°, β = 88.89° and γ = 87.24°. Symmetry generates all atoms from Li at (0.0000, 0.0000, 0.0000), H at (0.2915, 0.3328, 0.8027), Au at (0.0000, 0.0000, 0.5000), F at (0.1910, 0.8025, 0.7301), F at (0.2274, 0.8521, 0.2676), F at (0.2508, 0.2911, 0.5340) and F at (0.2636, 0.2929, 0.9512).

Its density of states at the Fermi level is 0.000 states/eV/cell. Its total moment is 0.000 μB/atom. The total energy is -44.5 eV/cell.

7.
Entry from the Alexandria database: a relaxed structure of Nd2ThCl (PBE-GGA).

It has space group P4/mmm (No. 123), with a = 3.5996 Å, b = 3.5996 Å, c = 9.4720 Å, α = 90.00°, β = 90.00° and γ = 90.00°. Symmetry generates all atoms from Nd at (0.0000, 0.0000, 0.2375), Th at (0.5000, 0.5000, 0.5000) and Cl at (0.5000, 0.5000, 0.0000).

The uncorrected formation energy comes out at -2.221 eV/f.u. The calculation puts the distance to the lowest polymorph of the same formula at 0.57 eV per formula unit. Its density of states at the Fermi level is 3.690 states/eV/cell. Its total moment is 0.000 μB/atom.

8.
Entry from the Alexandria database: a relaxed structure of CaLaBN2 (PBE-GGA).

It has space group P2/c (No. 13), with a = 5.9405 Å, b = 4.0156 Å, c = 7.7024 Å, α = 90.00°, β = 105.40° and γ = 90.00°. Symmetry generates all atoms from Ca at (0.0000, 0.0007, 0.2500), La at (0.5000, 0.4987, 0.7500), B at (0.0000, 0.5000, 0.0000) and N at (0.1959, 0.4990, 0.9394).

The uncorrected formation energy comes out at -4.396 eV/f.u. Its density of states at the Fermi level is 4.030 states/eV/cell. Its total moment is 0.000 μB/atom.

9.
Entry from the Alexandria database: a relaxed structure of K2CO4 (PBE-GGA).

It has space group I4/mmm (No. 139), with a = 4.9335 Å, b = 4.9335 Å, c = 10.8336 Å, α = 90.00°, β = 90.00° and γ = 90.00°. Symmetry generates all atoms from K at (0.0000, 0.0000, 0.1361), C at (0.0000, 0.0000, 0.5000), O at (0.0000, 0.0000, 0.3909) and O at (0.0000, 0.5000, 0.0000).

The uncorrected formation energy comes out at -5.236 eV/f.u. The calculation puts the distance to the lowest polymorph of the same formula at 3.57 eV per formula unit. Its density of states at the Fermi level is 14.478 states/eV/cell. Its total moment is 0.286 μB/atom.

10.
Entry from the Alexandria database: a relaxed structure of MnHgOs (PBE-GGA).

It has space group Fmm2 (No. 42), with a = 3.0498 Å, b = 4.7274 Å, c = 13.7614 Å, α = 90.00°, β = 90.00° and γ = 90.00°. Symmetry generates all atoms from Mn at (0.0000, 0.0000, 0.0000), Hg at (0.0000, 0.0000, 0.6735) and Os at (0.0000, 0.0000, 0.3596).

The calculation puts the distance to the lowest polymorph of the same formula at 0.47 eV per formula unit. The energy of formation from the pure elements is 0.585 eV/atom. Its density of states at the Fermi level is 9.784 states/eV/cell. Its total moment is 1.101 μB/atom.

11.
Entry from the Alexandria database: a relaxed structure of Cs3Ho2ZrTe6 (PBE-GGA).

It has space group C2/m (No. 12), with a = 7.7054 Å, b = 13.3466 Å, c = 9.2931 Å, α = 90.00°, β = 106.06° and γ = 90.00°. Symmetry generates all atoms from Cs at (0.0000, 0.0000, 0.0000), Cs at (0.0000, 0.3300, 0.0000), Ho at (0.0000, 0.1662, 0.5000), Zr at (0.0000, 0.5000, 0.5000), Te at (0.2240, 0.3384, 0.6875) and Te at (0.2402, 0.0000, 0.6891).

The uncorrected formation energy comes out at -14.531 eV/f.u. Its density of states at the Fermi level is 10.839 states/eV/cell. Its total moment is 0.061 μB/atom.

12.
Entry from the Alexandria database: a relaxed structure of Pm2PdF (PBE-GGA).

It has space group R-3m (No. 166, hexagonal axes), with a = 3.3052 Å, b = 3.3052 Å, c = 27.6645 Å, α = 90.00°, β = 90.00° and γ = 120.00°. Symmetry generates all atoms from Pm at (0.0000, 0.0000, 0.0961), Pd at (0.0000, 0.0000, 0.0000) and F at (0.0000, 0.0000, 0.5000).

The uncorrected formation energy comes out at -4.195 eV/f.u. Its density of states at the Fermi level is 5.640 states/eV/cell. Its total moment is 0.000 μB/atom.

13.
Entry from the Alexandria database: a relaxed structure of Ag6Pd10Au (PBE-GGA).

It has space group P-31m (No. 162), with a = 7.7655 Å, b = 7.7655 Å, c = 5.5413 Å, α = 90.00°, β = 90.00° and γ = 120.00°. Symmetry generates all atoms from Ag at (0.0000, 0.3423, 0.3348), Pd at (0.0000, 0.3185, 0.8441), Pd at (0.3333, 0.6667, 0.0000), Pd at (0.3333, 0.6667, 0.5000) and Au at (0.0000, 0.0000, 0.5000).

The energy of formation from the pure elements is 0.101 eV/atom. Its density of states at the Fermi level is 20.345 states/eV/cell. Its total moment is 0.000 μB/atom.

14.
Entry from the Alexandria database: a relaxed structure of Dy2TiSi3Pt4 (PBE-GGA).

It has space group P-4m2 (No. 115), with a = 4.1232 Å, b = 4.1232 Å, c = 10.4824 Å, α = 90.00°, β = 90.00° and γ = 90.00°. Symmetry generates all atoms from Dy at (0.0000, 0.5000, 0.2398), Ti at (0.0000, 0.0000, 0.5000), Si at (0.0000, 0.5000, 0.8655), Si at (0.5000, 0.5000, 0.5000), Pt at (0.0000, 0.0000, 0.0000), Pt at (0.0000, 0.5000, 0.6406) and Pt at (0.5000, 0.5000, 0.0000).

The uncorrected formation energy comes out at -10.870 eV/f.u. Its density of states at the Fermi level is 9.440 states/eV/cell. Its total moment is 0.000 μB/atom.

15.
Entry from the Alexandria database: a relaxed structure of PmSc5Ag4 (PBE-GGA).

It has space group P4/mmm (No. 123), with a = 3.4258 Å, b = 3.4258 Å, c = 18.7604 Å, α = 90.00°, β = 90.00° and γ = 90.00°. Symmetry generates all atoms from Pm at (0.0000, 0.0000, 0.0000), Sc at (0.5000, 0.5000, 0.1317), Sc at (0.5000, 0.5000, 0.3149), Sc at (0.5000, 0.5000, 0.5000), Ag at (0.0000, 0.0000, 0.2224) and Ag at (0.0000, 0.0000, 0.4085).

The energy of formation from the pure elements is -0.201 eV/atom. Its density of states at the Fermi level is 10.019 states/eV/cell. Its total moment is 0.000 μB/atom.

16.
Entry from the Alexandria database: a relaxed structure of NdTh2Sb (PBE-GGA).

It has space group P4/mmm (No. 123), with a = 4.7976 Å, b = 4.7976 Å, c = 5.1738 Å, α = 90.00°, β = 90.00° and γ = 90.00°. Symmetry generates all atoms from Nd at (0.0000, 0.0000, 0.0000), Th at (0.0000, 0.5000, 0.5000) and Sb at (0.5000, 0.5000, 0.0000).

The uncorrected formation energy comes out at -1.719 eV/f.u. Its density of states at the Fermi level is 5.309 states/eV/cell. Its total moment is 0.000 μB/atom.

17.
Entry from the Alexandria database: a relaxed structure of YOsNO2 (PBE-GGA).

It has space group P4/mmm (No. 123), with a = 4.2080 Å, b = 4.2080 Å, c = 4.5662 Å, α = 90.00°, β = 90.00° and γ = 90.00°. Symmetry generates all atoms from Y at (0.0000, 0.0000, 0.0000), Os at (0.5000, 0.5000, 0.5000), N at (0.0000, 0.0000, 0.5000) and O at (0.0000, 0.5000, 0.0000).

The uncorrected formation energy comes out at 2.993 eV/f.u. Its density of states at the Fermi level is 2.674 states/eV/cell. Its total moment is 0.990 μB/atom.

18.
Entry from the Alexandria database: a relaxed structure of CsHRu2 (PBE-GGA).

It has space group Fm-3m (No. 225), with a = 6.3509 Å, b = 6.3509 Å, c = 6.3509 Å, α = 90.00°, β = 90.00° and γ = 90.00°. Symmetry generates all atoms from Cs at (0.0000, 0.0000, 0.0000), H at (0.0000, 0.0000, 0.5000) and Ru at (0.2500, 0.2500, 0.2500).

Its density of states at the Fermi level is 29.849 states/eV/cell. Its total moment is 0.000 μB/atom. The total energy is -56.2 eV/cell.

19.
Entry from the Alexandria database: a relaxed structure of Cs2ScAs (PBE-GGA).

It has space group I-42d (No. 122), with a = 14.2395 Å, b = 14.2395 Å, c = 5.1416 Å, α = 90.00°, β = 90.00° and γ = 90.00°. Symmetry generates all atoms from Cs at (0.0737, 0.2500, 0.1250), Sc at (0.0000, 0.0000, 0.5000) and As at (0.0000, 0.0000, 0.0000).

The calculation puts the distance to the lowest polymorph of the same formula at 0.00 eV per formula unit. The energy of formation from the pure elements is -0.130 eV/atom. Its density of states at the Fermi level is 7.242 states/eV/cell. Its total moment is 0.000 μB/atom.

20.
Entry from the Alexandria database: a relaxed structure of BaMnIr (PBE-GGA).

It has space group Pnma (No. 62), with a = 6.0995 Å, b = 4.5100 Å, c = 12.0175 Å, α = 90.00°, β = 90.00° and γ = 90.00°. Symmetry generates all atoms from Ba at (0.1183, 0.2500, 0.1353), Mn at (0.1179, 0.7500, 0.3670) and Ir at (0.1115, 0.2500, 0.4567).

The calculation puts the distance to the lowest polymorph of the same formula at 0.43 eV per formula unit. The energy of formation from the pure elements is 0.159 eV/atom. Its density of states at the Fermi level is 7.379 states/eV/cell. Its total moment is 1.406 μB/atom.

21.
Entry from the Alexandria database: a relaxed structure of Zr2TcRu (PBE-GGA).

It has space group I-4m2 (No. 119), with a = 3.8526 Å, b = 3.8526 Å, c = 9.7717 Å, α = 90.00°, β = 90.00° and γ = 90.00°. Symmetry generates all atoms from Zr at (0.0000, 0.0000, 0.0000), Zr at (0.0000, 0.5000, 0.2500), Tc at (0.0000, 0.0000, 0.5000) and Ru at (0.0000, 0.5000, 0.7500).

The energy of formation from the pure elements is -0.185 eV/atom. Its density of states at the Fermi level is 6.264 states/eV/cell. Its total moment is 0.000 μB/atom.

22.
Entry from the Alexandria database: a relaxed structure of AsW2Cl (PBE-GGA).

It has space group R-3m (No. 166, hexagonal axes), with a = 2.9907 Å, b = 2.9907 Å, c = 24.7955 Å, α = 90.00°, β = 90.00° and γ = 120.00°. Symmetry generates all atoms from As at (0.0000, 0.0000, 0.0000), W at (0.0000, 0.0000, 0.2533) and Cl at (0.0000, 0.0000, 0.5000).

The uncorrected formation energy comes out at 2.344 eV/f.u. The calculation puts the distance to the lowest polymorph of the same formula at 2.39 eV per formula unit. Its density of states at the Fermi level is 8.184 states/eV/cell. Its total moment is 0.000 μB/atom.

23.
Entry from the Alexandria database: a relaxed structure of YSb2SeI (PBE-GGA).

It has space group P4/mmm (No. 123), with a = 5.9361 Å, b = 5.9361 Å, c = 5.6609 Å, α = 90.00°, β = 90.00° and γ = 90.00°. Symmetry generates all atoms from Y at (0.0000, 0.0000, 0.0000), Sb at (0.0000, 0.5000, 0.0000), Se at (0.5000, 0.5000, 0.5000) and I at (0.0000, 0.0000, 0.5000).

The uncorrected formation energy comes out at 1.464 eV/f.u. The calculation puts the distance to the lowest polymorph of the same formula at 0.58 eV per formula unit. Its density of states at the Fermi level is 5.432 states/eV/cell. Its total moment is 0.000 μB/atom.

24.
Entry from the Alexandria database: a relaxed structure of Zr3BCl (PBE-GGA).

It has space group Pm-3m (No. 221), with a = 4.6913 Å, b = 4.6913 Å, c = 4.6913 Å, α = 90.00°, β = 90.00° and γ = 90.00°. Symmetry generates all atoms from Zr at (0.0000, 0.0000, 0.5000), B at (0.0000, 0.0000, 0.0000) and Cl at (0.5000, 0.5000, 0.5000).

The uncorrected formation energy comes out at 0.533 eV/f.u. The calculation puts the distance to the lowest polymorph of the same formula at 0.00 eV per formula unit. Its density of states at the Fermi level is 5.488 states/eV/cell. Its total moment is 0.000 μB/atom.

25.
Entry from the Alexandria database: a relaxed structure of CdS2BrCl (PBE-GGA).

It has space group P4/mmm (No. 123), with a = 4.9206 Å, b = 4.9206 Å, c = 5.1153 Å, α = 90.00°, β = 90.00° and γ = 90.00°. Symmetry generates all atoms from Cd at (0.0000, 0.0000, 0.0000), S at (0.0000, 0.5000, 0.5000), Br at (0.5000, 0.5000, 0.5000) and Cl at (0.5000, 0.5000, 0.0000).

The uncorrected formation energy comes out at 3.131 eV/f.u. The calculation puts the distance to the lowest polymorph of the same formula at 0.68 eV per formula unit. Its density of states at the Fermi level is 2.109 states/eV/cell. Its total moment is 0.000 μB/atom.